First-principles (PBE) data for a relaxed EuZn4Rh crystal, as listed in Alexandria via LeMat-Bulk.

```
EuZn4Rh
1.0
-3.937 -1.149 3.217
0.987 -1.924 4.743
-0.850 2.927 4.228
Eu Zn Rh
1 4 1
Cartesian
0.000 0.000 0.000 Eu
-1.949 -1.534 5.512 Zn
-2.855 0.858 5.258 Zn
-2.369 -0.091 7.597 Zn
-0.427 0.476 6.010 Zn
-0.950 -0.036 3.047 Rh
```

Computed properties:
SG: F-43m (216)
ΔE_f in meV/atom: -287

First-principles (PBE) data for a relaxed Os2RhCl crystal, as listed in Alexandria via LeMat-Bulk.

```
Os2RhCl
1.0
2.774 0.000 0.000
0.000 2.774 0.000
0.000 0.000 7.739
Cl Os Rh
1 2 1
Cartesian
1.387 1.387 5.804 Cl
0.000 0.000 0.071 Os
0.000 0.000 3.799 Os
1.387 1.387 1.935 Rh
```

Computed properties:
Formation energy without anion corrections in meV/atom: 958
SG: P4/mmm (123)
Energy above the lowest structure with this stoichiometry in meV/atom: 523

First-principles (PBE) data for a relaxed ScZnPd5 crystal, as listed in Alexandria via LeMat-Bulk.

```
ScZnPd5
1.0
4.066 0.000 0.000
0.000 4.066 0.000
0.000 0.000 7.013
Sc Zn Pd
1 1 5
Cartesian
0.000 0.000 3.507 Sc
2.033 2.033 0.000 Zn
0.000 2.033 5.452 Pd
0.000 2.033 1.562 Pd
2.033 0.000 5.452 Pd
2.033 0.000 1.562 Pd
2.033 2.033 3.507 Pd
```

Computed properties:
SG: P4/mmm (123)
Energy above the lowest structure with this stoichiometry in meV/atom: 0
ΔE_f in meV/atom: -545